# 1
## PS2IN (PBE-GGA)

Data for a relaxed PS2IN crystal.

Computed properties:
SG: P4/mmm (123)
formation energy from raw total energies: 2.154 eV/atom
offset from the most stable computed form: 1338 meV per atom
total energy: -2.55 eV per atom

abc: 5.1430 5.1430 5.4909
angles: 90.00 90.00 90.00
Positions (direct):
1 I 0.0000 0.0000 0.0000
2 P 0.0000 0.0000 0.5000
3 S 0.0000 0.5000 0.0000
4 S 0.5000 0.0000 0.0000
5 N 0.5000 0.5000 0.5000



# 2
## LiCuSbBr5 (PBE-GGA)

Data for a relaxed LiCuSbBr5 crystal.

Computed properties:
SG: C2/c (15)
formation energy from raw total energies: -0.638 eV/atom
total energy: -2.95 eV per atom

abc: 7.0524 7.0524 12.3040
angles: 109.67 109.67 101.53
Positions (direct):
1 Li 0.0000 0.0000 0.5000
2 Li 0.0000 0.0000 0.0000
3 Cu 0.6727 0.3273 0.2500
4 Cu 0.3273 0.6727 0.7500
5 Sb 0.3754 0.6246 0.2500
6 Sb 0.6246 0.3754 0.7500
7 Br 0.1346 0.8654 0.2500
8 Br 0.8654 0.1346 0.7500
9 Br 0.9905 0.3078 0.1910
10 Br 0.0095 0.6922 0.8090
11 Br 0.6922 0.0095 0.3090
12 Br 0.3078 0.9905 0.6910
13 Br 0.7312 0.6084 0.4486
14 Br 0.2688 0.3916 0.5514
15 Br 0.3916 0.2688 0.0514
16 Br 0.6084 0.7312 0.9486



# 3
## CeEr2Ti (PBE-GGA)

Data for a relaxed CeEr2Ti crystal.

Computed properties:
SG: R-3m (166)
ΔE_f: 0.405 eV per atom
total energy: -5.33 eV per atom

abc: 3.2852 3.2852 11.7093
angles: 81.94 81.94 60.00
Positions (direct):
1 Ti 0.0000 0.0000 0.0000
2 Ce 0.5000 0.5000 0.5000
3 Er 0.0843 0.0843 0.7470
4 Er 0.9157 0.9157 0.2530



# 4
## PmMgI6 (PBE-GGA)

Data for a relaxed PmMgI6 crystal.

Computed properties:
SG: P-1 (2)
formation energy from raw total energies: -0.939 eV/atom
total energy: -2.89 eV per atom

abc: 7.5281 7.5234 7.9862
angles: 61.67 61.97 60.02
Positions (direct):
1 Pm 0.0000 0.0000 0.0000
2 Mg 0.5000 0.5000 0.5000
3 I 0.0878 0.4301 0.7420
4 I 0.7379 0.0870 0.7451
5 I 0.5722 0.2607 0.2557
6 I 0.2621 0.9130 0.2549
7 I 0.9122 0.5699 0.2580
8 I 0.4278 0.7393 0.7443



Which of these has the highest total energy? PS2IN



Among the records above, which one has the lowest total energy? CeEr2Ti



Which of these has the lowest total energy? CeEr2Ti



Repeat the second record exactly.
## LiCuSbBr5 (PBE-GGA)

Data for a relaxed LiCuSbBr5 crystal.

Computed properties:
SG: C2/c (15)
formation energy from raw total energies: -0.638 eV/atom
total energy: -2.95 eV per atom

abc: 7.0524 7.0524 12.3040
angles: 109.67 109.67 101.53
Positions (direct):
1 Li 0.0000 0.0000 0.5000
2 Li 0.0000 0.0000 0.0000
3 Cu 0.6727 0.3273 0.2500
4 Cu 0.3273 0.6727 0.7500
5 Sb 0.3754 0.6246 0.2500
6 Sb 0.6246 0.3754 0.7500
7 Br 0.1346 0.8654 0.2500
8 Br 0.8654 0.1346 0.7500
9 Br 0.9905 0.3078 0.1910
10 Br 0.0095 0.6922 0.8090
11 Br 0.6922 0.0095 0.3090
12 Br 0.3078 0.9905 0.6910
13 Br 0.7312 0.6084 0.4486
14 Br 0.2688 0.3916 0.5514
15 Br 0.3916 0.2688 0.0514
16 Br 0.6084 0.7312 0.9486